1.
# KScFe2 (PBE-GGA, relaxed)
data_KScFe2
_chemical_formula_sum 'K4 Sc4 Fe8'
_cell_length_a 6.705
_cell_length_b 6.705
_cell_length_c 6.705
_cell_angle_alpha 90.00
_cell_angle_beta 90.00
_cell_angle_gamma 90.00
_space_group_name_H-M_alt 'P 1'
_space_group_IT_number 1
loop_
_space_group_symop_operation_xyz
'x,y,z'
loop_
_atom_site_label
_atom_site_fract_x
_atom_site_fract_y
_atom_site_fract_z
K1 0.000 0.000 0.000
K2 0.000 0.500 0.500
K3 0.500 0.000 0.500
K4 0.500 0.500 0.000
Sc1 0.250 0.250 0.250
Sc2 0.250 0.750 0.750
Sc3 0.750 0.250 0.750
Sc4 0.750 0.750 0.250
Fe1 0.000 0.000 0.500
Fe2 0.000 0.500 0.000
Fe3 0.250 0.250 0.750
Fe4 0.250 0.750 0.250
Fe5 0.500 0.000 0.000
Fe6 0.500 0.500 0.500
Fe7 0.750 0.250 0.250
Fe8 0.750 0.750 0.750
# excess energy over the best structure of this formula in the dataset: 0.590 eV/atom
# energy of formation: 1.027 eV/atom
# magnetic moment: 3.9 μB per formula unit
# theoretical density: 4312 kg/m3
# V: 18.843 A^3/atom
# DOS(E_F): 23.56 states/eV/cell

2.
# KScFe2 (PBE-GGA, relaxed)
data_KScFe2
_chemical_formula_sum 'K2 Sc2 Fe4'
_cell_length_a 9.225
_cell_length_b 3.016
_cell_length_c 7.239
_cell_angle_alpha 90.00
_cell_angle_beta 95.63
_cell_angle_gamma 90.00
_space_group_name_H-M_alt 'P 1'
_space_group_IT_number 1
loop_
_space_group_symop_operation_xyz
'x,y,z'
loop_
_atom_site_label
_atom_site_fract_x
_atom_site_fract_y
_atom_site_fract_z
K1 0.000 0.000 0.000
K2 0.500 0.500 0.000
Sc1 0.000 0.500 0.500
Sc2 0.500 0.000 0.500
Fe1 0.239 0.000 0.620
Fe2 0.261 0.500 0.380
Fe3 0.739 0.500 0.620
Fe4 0.761 0.000 0.380
# excess energy over the best structure of this formula in the dataset: 0.136 eV/atom
# energy of formation: 0.574 eV/atom
# magnetic moment: 4.1 μB per formula unit
# theoretical density: 3244 kg/m3
# V: 25.052 A^3/atom
# DOS(E_F): 6.84 states/eV/cell

3.
# KScFe2 (PBE-GGA, relaxed)
data_KScFe2
_chemical_formula_sum 'K1 Sc1 Fe2'
_cell_length_a 3.086
_cell_length_b 3.941
_cell_length_c 7.585
_cell_angle_alpha 90.00
_cell_angle_beta 90.20
_cell_angle_gamma 90.00
_space_group_name_H-M_alt 'P 1'
_space_group_IT_number 1
loop_
_space_group_symop_operation_xyz
'x,y,z'
loop_
_atom_site_label
_atom_site_fract_x
_atom_site_fract_y
_atom_site_fract_z
K1 0.000 0.000 0.000
Sc1 0.000 0.000 0.500
Fe1 0.499 0.500 0.350
Fe2 0.501 0.500 0.650
# excess energy over the best structure of this formula in the dataset: 0.127 eV/atom
# energy of formation: 0.564 eV/atom
# magnetic moment: 4.3 μB per formula unit
# theoretical density: 3524 kg/m3
# V: 23.060 A^3/atom
# DOS(E_F): 5.57 states/eV/cell

4.
# KScFe2 (PBE-GGA, relaxed)
data_KScFe2
_chemical_formula_sum 'K4 Sc4 Fe8'
_cell_length_a 6.925
_cell_length_b 6.925
_cell_length_c 6.925
_cell_angle_alpha 90.00
_cell_angle_beta 90.00
_cell_angle_gamma 90.00
_space_group_name_H-M_alt 'P 1'
_space_group_IT_number 1
loop_
_space_group_symop_operation_xyz
'x,y,z'
loop_
_atom_site_label
_atom_site_fract_x
_atom_site_fract_y
_atom_site_fract_z
K1 0.000 0.000 0.000
K2 0.000 0.500 0.500
K3 0.500 0.000 0.500
K4 0.500 0.500 0.000
Sc1 0.000 0.000 0.500
Sc2 0.000 0.500 0.000
Sc3 0.500 0.000 0.000
Sc4 0.500 0.500 0.500
Fe1 0.250 0.250 0.250
Fe2 0.250 0.250 0.750
Fe3 0.250 0.750 0.250
Fe4 0.250 0.750 0.750
Fe5 0.750 0.250 0.250
Fe6 0.750 0.250 0.750
Fe7 0.750 0.750 0.250
Fe8 0.750 0.750 0.750
# excess energy over the best structure of this formula in the dataset: 0.657 eV/atom
# energy of formation: 1.094 eV/atom
# magnetic moment: 4.3 μB per formula unit
# theoretical density: 3916 kg/m3
# V: 20.753 A^3/atom
# DOS(E_F): 37.92 states/eV/cell